No. 1
SrNdY4Se8: relaxed, PBE.

The value obtained for the density is 4.52 g cm⁻³. The volume comes out at 31.97 Å³ per atom. The raw formation energy comes out at -1.80 eV/atom.

Cell: 8.5511 8.5511 21.2058 Å, 90.00 90.00 120.00°
Space group R3m (No. 160, hexagonal axes)
Asymmetric unit:
Sr 0.0000 0.0000 0.0000
Nd 0.0000 0.0000 0.6285
Y 0.0000 0.0000 0.2521
Y 0.1689 0.3378 0.4593
Se 0.0000 0.0000 0.3845
Se 0.0000 0.0000 0.8626
Se 0.0307 0.5154 0.3839
Se 0.1742 0.3485 0.2051



No. 2
Zr3P5: relaxed, PBE.

Its energy above the lowest structure with this stoichiometry is 122 meV/atom. The value obtained for the density is 5.25 g cm⁻³. The energy of formation from the pure elements comes out at -0.6548 eV/atom. The volume comes out at 16.94 Å³ per atom.

Cell: 6.726 8.341 4.831 Å, 90.00 90.00 90.00°
Space group Cmmm (No. 65)
Asymmetric unit:
Zr 0.000 0.000 0.000
Zr 0.000 0.291 0.500
P 0.000 0.500 0.000
P 0.182 0.000 0.500
P 0.250 0.250 0.000



No. 3
HoEr2UAs4: relaxed, PBE.

The value obtained for the density is 8.96 g cm⁻³. The energy of formation from the pure elements comes out at -1.3182 eV/atom. The volume comes out at 24.04 Å³ per atom.

Cell: 7.072 4.071 7.073 Å, 90.00 109.20 90.00°
Space group P2/m (No. 10)
Asymmetric unit:
Ho 0.000 0.000 0.000
Er 0.500 0.000 0.500
Er 0.500 0.500 0.000
U 0.000 0.500 0.500
As 0.249 0.500 0.253
As 0.250 0.000 0.749



No. 4
Zn2FeMo: relaxed, PBE.

Its energy above the lowest structure with this stoichiometry is 78 meV/atom. The value obtained for the density is 8.80 g cm⁻³. The energy of formation from the pure elements comes out at 0.1349 eV/atom. The volume comes out at 13.33 Å³ per atom.

Cell: 5.975 5.975 5.975 Å, 90.00 90.00 90.00°
Space group F-43m (No. 216)
Asymmetric unit:
Zn 0.000 0.000 0.000
Zn 0.250 0.250 0.250
Fe 0.000 0.000 0.500
Mo 0.250 0.250 0.750



No. 5
GaReIN2: relaxed, PBE.

Its energy above the lowest structure with this stoichiometry is 1448 meV/atom. The value obtained for the density is 7.03 g cm⁻³. The volume comes out at 19.42 Å³ per atom. The raw formation energy comes out at 2.10 eV/atom.

Cell: 3.887 3.887 6.427 Å, 90.00 90.00 90.00°
Space group P4/mmm (No. 123)
Asymmetric unit:
Ga 0.000 0.000 0.000
Re 0.500 0.500 0.500
I 0.000 0.000 0.500
N 0.000 0.500 0.000



No. 6
LiYTl2: relaxed, PBE.

Its energy above the lowest structure with this stoichiometry is 0 meV/atom. The value obtained for the density is 8.36 g cm⁻³. The energy of formation from the pure elements comes out at -0.3298 eV/atom. The volume comes out at 25.05 Å³ per atom.

Cell: 7.186 7.164 3.892 Å, 90.00 90.20 90.00°
Space group C2/m (No. 12)
Asymmetric unit:
Li 0.000 0.000 0.000
Y 0.000 0.500 0.000
Tl 0.250 0.250 0.500